<P>
Entry from the Alexandria database: a geometry-optimized YMg6NbO8 structure (PBE).

Properties
SG: P4/mmm (123)
Theoretical density in g/cm³: 4.23
Calculated volume in Å³ per cell: 179.0

a b c (Å): 4.444 4.444 9.064
angles (deg): 90.00 90.00 90.00
Fractional coordinates of all 16 atoms:
Y (0.000, 0.000, 0.000)
Mg (0.500, 0.500, 0.000)
Mg (0.500, 0.500, 0.500)
Mg (0.000, 0.500, 0.264)
Mg (0.000, 0.500, 0.736)
Mg (0.500, 0.000, 0.264)
Mg (0.500, 0.000, 0.736)
Nb (0.000, 0.000, 0.500)
O (0.000, 0.000, 0.247)
O (0.000, 0.000, 0.753)
O (0.500, 0.500, 0.253)
O (0.500, 0.500, 0.747)
O (0.000, 0.500, 0.000)
O (0.000, 0.500, 0.500)
O (0.500, 0.000, 0.000)
O (0.500, 0.000, 0.500)

=====

<Q>
Entry from the Alexandria database: a geometry-optimized YMg6NbO8 structure (PBE).

Properties
SG: P4/mmm (123)
Theoretical density in g/cm³: 4.35
Calculated volume in Å³ per cell: 174.0

a b c (Å): 4.419 4.419 8.913
angles (deg): 90.00 90.00 90.00
Each line ends with the local moment (μB).
Fractional coordinates of all 16 atoms:
Y (0.000, 0.000, 0.000)  0.01
Mg (0.000, 0.000, 0.500)  0.00
Mg (0.500, 0.500, 0.500)  0.00
Mg (0.000, 0.500, 0.264)  0.00
Mg (0.000, 0.500, 0.736)  0.00
Mg (0.500, 0.000, 0.264)  0.00
Mg (0.500, 0.000, 0.736)  0.00
Nb (0.500, 0.500, 0.000)  0.21
O (0.000, 0.000, 0.265)  0.00
O (0.000, 0.000, 0.735)  0.00
O (0.500, 0.500, 0.267)  0.00
O (0.500, 0.500, 0.733)  0.00
O (0.000, 0.500, 0.000)  0.01
O (0.000, 0.500, 0.500)  0.00
O (0.500, 0.000, 0.000)  0.01
O (0.500, 0.000, 0.500)  0.00

=====

Tell me which of them is the least stable. Sure, it is <P>.

=====

<P>
Entry from the Alexandria database: a geometry-optimized Mg3NbOs structure (PBE).

Properties
SG: Pm-3m (221)
Theoretical density in g/cm³: 5.26
Calculated volume in Å³ per cell: 112.4

a b c (Å): 4.826 4.826 4.826
angles (deg): 90.00 90.00 90.00
Fractional coordinates of all 5 atoms:
Nb (0.500, 0.500, 0.500)
Os (0.000, 0.000, 0.000)
Mg (0.000, 0.500, 0.000)
Mg (0.000, 0.000, 0.500)
Mg (0.500, 0.000, 0.000)

=====

<Q>
Entry from the Alexandria database: a geometry-optimized Mg3NbOs structure (PBE).

Properties
SG: Pm-3m (221)
Theoretical density in g/cm³: 4.46
Calculated volume in Å³ per cell: 132.4

a b c (Å): 5.097 5.097 5.097
angles (deg): 90.00 90.00 90.00
Each line ends with the local moment (μB).
Fractional coordinates of all 5 atoms:
Nb (0.000, 0.000, 0.000)  -2.03
Os (0.500, 0.500, 0.500)  2.27
Mg (0.000, 0.500, 0.000)  -0.04
Mg (0.000, 0.000, 0.500)  -0.01
Mg (0.500, 0.000, 0.000)  -0.06

=====

Tell me which of them is the least stable. Sure, it is <Q>.

=====

<P>
Entry from the Alexandria database: a geometry-optimized MgNbOs structure (PBE).

Properties
SG: I4mm (107)
Theoretical density in g/cm³: 9.82
Calculated volume in Å³ per cell: 52.0

a b c (Å): 3.221 3.221 5.503
angles (deg): 107.02 107.02 90.00
Each line ends with the local moment (μB).
Fractional coordinates of all 3 atoms:
Nb (0.312, 0.312, 0.624)  0.26
Os (0.678, 0.678, 0.357)  0.02
Mg (0.009, 0.009, 0.019)  0.00

=====

<Q>
Entry from the Alexandria database: a geometry-optimized MgNbOs structure (PBE).

Properties
SG: Cmcm (63)
Theoretical density in g/cm³: 10.07
Calculated volume in Å³ per cell: 202.8

a b c (Å): 4.566 9.811 4.528
angles (deg): 90.00 90.00 90.00
Fractional coordinates of all 12 atoms:
Mg (0.000, 0.913, 0.250)
Mg (0.000, 0.087, 0.750)
Mg (0.500, 0.413, 0.250)
Mg (0.500, 0.587, 0.750)
Nb (0.000, 0.605, 0.250)
Nb (0.000, 0.395, 0.750)
Nb (0.500, 0.105, 0.250)
Nb (0.500, 0.895, 0.750)
Os (0.000, 0.252, 0.250)
Os (0.000, 0.748, 0.750)
Os (0.500, 0.752, 0.250)
Os (0.500, 0.248, 0.750)

=====

Tell me which of them is the least stable. Sure, it is <P>.